Model one:
The following is a DFT calculation (GGA-PBE) of a relaxed LaYTmSc crystal.

The structure in CIF format:
```
data_LaYTmSc
_chemical_formula_sum 'La1 Y1 Tm1 Sc1'
_symmetry_space_group_name_H-M 'P 1'
_symmetry_Int_Tables_number 1
_symmetry_space_group_name_Hall 'P 1'
_cell_length_a 5.604
_cell_length_b 5.604
_cell_length_c 5.604
_cell_angle_alpha 60.00
_cell_angle_beta 60.00
_cell_angle_gamma 60.00
loop_
_atom_site_label
_atom_site_type_symbol
_atom_site_fract_x
_atom_site_fract_y
_atom_site_fract_z
_atom_site_occupancy
Tm1 Tm 0.500 0.500 0.500 1
La1 La 0.250 0.250 0.250 1
Sc1 Sc 0.000 0.000 0.000 1
Y1 Y 0.750 0.750 0.750 1
```

Computed properties:
- calculated density (g/cm3) = 5.89
- D(E_F) (states/eV per cell) = 5.698

Model two:
The following is a DFT calculation (GGA-PBE) of a relaxed LaYTmSc crystal.

The structure in CIF format:
```
data_LaYTmSc
_chemical_formula_sum 'La1 Y1 Tm1 Sc1'
_symmetry_space_group_name_H-M 'P 1'
_symmetry_Int_Tables_number 1
_symmetry_space_group_name_Hall 'P 1'
_cell_length_a 3.613
_cell_length_b 5.639
_cell_length_c 6.106
_cell_angle_alpha 90.00
_cell_angle_beta 90.00
_cell_angle_gamma 90.00
loop_
_atom_site_label
_atom_site_type_symbol
_atom_site_fract_x
_atom_site_fract_y
_atom_site_fract_z
_atom_site_occupancy
Y1 Y 0.000 0.500 0.878 1
Sc1 Sc 0.500 0.000 0.719 1
Tm1 Tm 0.500 0.500 0.390 1
La1 La 0.000 0.000 0.229 1
```

Computed properties:
- calculated density (g/cm3) = 5.89
- D(E_F) (states/eV per cell) = 7.661

Relative calculated energies, zero for the most stable structure, unit eV/atom: model one 0.044; model two 0.000.

Model one:
The following is a DFT calculation (GGA-PBE) of a relaxed LaTmScZn crystal.

The structure in CIF format:
```
data_LaTmScZn
_chemical_formula_sum 'La1 Tm1 Sc1 Zn1'
_symmetry_space_group_name_H-M 'P 1'
_symmetry_Int_Tables_number 1
_symmetry_space_group_name_Hall 'P 1'
_cell_length_a 5.301
_cell_length_b 5.301
_cell_length_c 5.301
_cell_angle_alpha 60.00
_cell_angle_beta 60.00
_cell_angle_gamma 60.00
loop_
_atom_site_label
_atom_site_type_symbol
_atom_site_fract_x
_atom_site_fract_y
_atom_site_fract_z
_atom_site_occupancy
Sc1 Sc 0.000 0.000 0.000 1
Zn1 Zn 0.500 0.500 0.500 1
La1 La 0.250 0.250 0.250 1
Tm1 Tm 0.750 0.750 0.750 1
```

Computed properties:
- calculated density (g/cm3) = 6.59
- D(E_F) (states/eV per cell) = 4.659

Model two:
The following is a DFT calculation (GGA-PBE) of a relaxed LaTmScZn crystal.

The structure in CIF format:
```
data_LaTmScZn
_chemical_formula_sum 'La1 Tm1 Sc1 Zn1'
_symmetry_space_group_name_H-M 'P 1'
_symmetry_Int_Tables_number 1
_symmetry_space_group_name_Hall 'P 1'
_cell_length_a 3.481
_cell_length_b 3.481
_cell_length_c 8.650
_cell_angle_alpha 90.00
_cell_angle_beta 90.00
_cell_angle_gamma 90.00
loop_
_atom_site_label
_atom_site_type_symbol
_atom_site_fract_x
_atom_site_fract_y
_atom_site_fract_z
_atom_site_occupancy
La1 La 0.000 0.000 0.083 1
Tm1 Tm 0.500 0.500 0.767 1
Zn1 Zn 0.000 0.000 0.556 1
Sc1 Sc 0.500 0.500 0.379 1
```

Computed properties:
- calculated density (g/cm3) = 6.62
- D(E_F) (states/eV per cell) = 4.763

Relative calculated energies, zero for the most stable structure, unit eV/atom: model one 0.141; model two 0.000.

Model one:
The following is a DFT calculation (GGA-PBE) of a relaxed LaScW crystal.

The structure in CIF format:
```
data_LaScW
_chemical_formula_sum 'La1 Sc1 W1'
_symmetry_space_group_name_H-M 'P 1'
_symmetry_Int_Tables_number 1
_symmetry_space_group_name_Hall 'P 1'
_cell_length_a 5.509
_cell_length_b 5.509
_cell_length_c 5.509
_cell_angle_alpha 148.42
_cell_angle_beta 128.49
_cell_angle_gamma 61.69
loop_
_atom_site_label
_atom_site_type_symbol
_atom_site_fract_x
_atom_site_fract_y
_atom_site_fract_z
_atom_site_occupancy
Sc1 Sc 0.317 0.317 0.000 1
W1 W 0.680 0.680 0.000 1
La1 La 0.004 0.004 0.000 1
```

Computed properties:
- calculated density (g/cm3) = 8.99
- D(E_F) (states/eV per cell) = 3.499

Model two:
The following is a DFT calculation (GGA-PBE) of a relaxed LaScW crystal.

The structure in CIF format:
```
data_LaScW
_chemical_formula_sum 'La1 Sc1 W1'
_symmetry_space_group_name_H-M 'P 1'
_symmetry_Int_Tables_number 1
_symmetry_space_group_name_Hall 'P 1'
_cell_length_a 4.713
_cell_length_b 4.713
_cell_length_c 4.713
_cell_angle_alpha 60.00
_cell_angle_beta 60.00
_cell_angle_gamma 60.00
loop_
_atom_site_label
_atom_site_type_symbol
_atom_site_fract_x
_atom_site_fract_y
_atom_site_fract_z
_atom_site_occupancy
Sc1 Sc 0.000 0.000 0.000 1
W1 W 0.500 0.500 0.500 1
La1 La 0.750 0.750 0.750 1
```

Computed properties:
- calculated density (g/cm3) = 8.25
- D(E_F) (states/eV per cell) = 3.401

Model three:
The following is a DFT calculation (GGA-PBE) of a relaxed LaScW crystal.

The structure in CIF format:
```
data_LaScW
_chemical_formula_sum 'La1 Sc1 W1'
_symmetry_space_group_name_H-M 'P 1'
_symmetry_Int_Tables_number 1
_symmetry_space_group_name_Hall 'P 1'
_cell_length_a 4.766
_cell_length_b 4.766
_cell_length_c 4.766
_cell_angle_alpha 60.00
_cell_angle_beta 60.00
_cell_angle_gamma 60.00
loop_
_atom_site_label
_atom_site_type_symbol
_atom_site_fract_x
_atom_site_fract_y
_atom_site_fract_z
_atom_site_occupancy
La1 La 0.000 0.000 0.000 1
W1 W 0.750 0.750 0.750 1
Sc1 Sc 0.500 0.500 0.500 1
```

Computed properties:
- calculated density (g/cm3) = 7.98
- D(E_F) (states/eV per cell) = 2.244

Relative calculated energies, zero for the most stable structure, unit eV/atom: model one 0.000; model two 0.901; model three 0.179.

Model one:
The following is a DFT calculation (GGA-PBE) of a relaxed LaScW crystal.

The structure in CIF format:
```
data_LaScW
_chemical_formula_sum 'La1 Sc1 W1'
_symmetry_space_group_name_H-M 'P 1'
_symmetry_Int_Tables_number 1
_symmetry_space_group_name_Hall 'P 1'
_cell_length_a 4.963
_cell_length_b 4.963
_cell_length_c 3.149
_cell_angle_alpha 90.00
_cell_angle_beta 90.00
_cell_angle_gamma 120.00
loop_
_atom_site_label
_atom_site_type_symbol
_atom_site_fract_x
_atom_site_fract_y
_atom_site_fract_z
_atom_site_occupancy
La1 La 0.000 0.000 0.833 1
W1 W 0.667 0.333 0.834 1
Sc1 Sc 0.333 0.667 0.333 1
```

Computed properties:
- calculated density (g/cm3) = 9.09
- D(E_F) (states/eV per cell) = 1.590

Model two:
The following is a DFT calculation (GGA-PBE) of a relaxed LaScW crystal.

The structure in CIF format:
```
data_LaScW
_chemical_formula_sum 'La1 Sc1 W1'
_symmetry_space_group_name_H-M 'P 1'
_symmetry_Int_Tables_number 1
_symmetry_space_group_name_Hall 'P 1'
_cell_length_a 6.822
_cell_length_b 6.822
_cell_length_c 6.822
_cell_angle_alpha 151.04
_cell_angle_beta 151.04
_cell_angle_gamma 41.42
loop_
_atom_site_label
_atom_site_type_symbol
_atom_site_fract_x
_atom_site_fract_y
_atom_site_fract_z
_atom_site_occupancy
W1 W 0.677 0.677 0.000 1
Sc1 Sc 0.298 0.298 0.000 1
La1 La 0.025 0.025 0.000 1
```

Computed properties:
- calculated density (g/cm3) = 8.22
- D(E_F) (states/eV per cell) = 4.998

Model three:
The following is a DFT calculation (GGA-PBE) of a relaxed LaScW crystal.

The structure in CIF format:
```
data_LaScW
_chemical_formula_sum 'La1 Sc1 W1'
_symmetry_space_group_name_H-M 'P 1'
_symmetry_Int_Tables_number 1
_symmetry_space_group_name_Hall 'P 1'
_cell_length_a 8.188
_cell_length_b 8.056
_cell_length_c 3.056
_cell_angle_alpha 81.60
_cell_angle_beta 76.73
_cell_angle_gamma 21.67
loop_
_atom_site_label
_atom_site_type_symbol
_atom_site_fract_x
_atom_site_fract_y
_atom_site_fract_z
_atom_site_occupancy
Sc1 Sc 0.306 0.306 0.694 1
W1 W 0.675 0.675 0.325 1
La1 La 0.019 0.019 0.981 1
```

Computed properties:
- calculated density (g/cm3) = 8.58
- D(E_F) (states/eV per cell) = 4.162

Relative calculated energies, zero for the most stable structure, unit eV/atom: model one 0.031; model two 0.000; model three 0.021.

Model one:
The following is a DFT calculation (GGA-PBE) of a relaxed LaSc3W crystal.

The structure in CIF format:
```
data_LaSc3W
_chemical_formula_sum 'La1 Sc3 W1'
_symmetry_space_group_name_H-M 'P 1'
_symmetry_Int_Tables_number 1
_symmetry_space_group_name_Hall 'P 1'
_cell_length_a 5.193
_cell_length_b 5.193
_cell_length_c 5.193
_cell_angle_alpha 90.00
_cell_angle_beta 90.00
_cell_angle_gamma 90.00
loop_
_atom_site_label
_atom_site_type_symbol
_atom_site_fract_x
_atom_site_fract_y
_atom_site_fract_z
_atom_site_occupancy
W1 W 0.000 0.000 0.000 1
La1 La 0.500 0.500 0.500 1
Sc1 Sc 0.000 0.500 0.000 1
Sc2 Sc 0.000 0.000 0.500 1
Sc3 Sc 0.500 0.000 0.000 1
```

Computed properties:
- calculated density (g/cm3) = 5.43
- D(E_F) (states/eV per cell) = 6.500

Model two:
The following is a DFT calculation (GGA-PBE) of a relaxed LaSc3W crystal.

The structure in CIF format:
```
data_LaSc3W
_chemical_formula_sum 'La1 Sc3 W1'
_symmetry_space_group_name_H-M 'P 1'
_symmetry_Int_Tables_number 1
_symmetry_space_group_name_Hall 'P 1'
_cell_length_a 4.995
_cell_length_b 4.995
_cell_length_c 4.995
_cell_angle_alpha 90.00
_cell_angle_beta 90.00
_cell_angle_gamma 90.00
loop_
_atom_site_label
_atom_site_type_symbol
_atom_site_fract_x
_atom_site_fract_y
_atom_site_fract_z
_atom_site_occupancy
La1 La 0.000 0.000 0.000 1
Sc1 Sc 0.000 0.000 0.500 1
Sc2 Sc 0.000 0.500 0.000 1
Sc3 Sc 0.500 0.000 0.000 1
W1 W 0.500 0.500 0.500 1
```

Computed properties:
- calculated density (g/cm3) = 6.10
- D(E_F) (states/eV per cell) = 8.195

Relative calculated energies, zero for the most stable structure, unit eV/atom: model one 0.000; model two 1.298.